#i
VASP calculation (meta-GGA SCAN) on a PBEsol-optimized structure of ReRhW2.

Magnetic moment = 0.0 μB per formula unit
Density = 18328 kg/m³
V = 14.9 Å³/atom

Unit cell a=4.7649 b=4.7649 c=4.8328 alpha=99.03 beta=99.03 gamma=33.35
Sites, in units of the cell vectors:
Re (0.0000, 0.0000, 0.0000)
Rh (0.5000, 0.5000, 0.5000)
W (0.2455, 0.2455, 0.7467)
W (0.7545, 0.7545, 0.2533)

=====

#ii
VASP calculation (meta-GGA SCAN) on a PBEsol-optimized structure of ReRhW2.

Magnetic moment = 0.0 μB per formula unit
Density = 18335 kg/m³
V = 14.9 Å³/atom

Unit cell a=2.7475 b=3.8938 c=5.5601 alpha=90.00 beta=90.00 gamma=90.00
Sites, in units of the cell vectors:
Re (0.0000, 0.0000, 0.0000)
Rh (0.0000, 0.0000, 0.5000)
W (0.5000, 0.5000, 0.2497)
W (0.5000, 0.5000, 0.7503)

=====

The structure with the most favorable energy is #ii; the runner-up is 48 meV per atom above it.

=====

#i
VASP calculation (meta-GGA SCAN) on a PBEsol-optimized structure of Zn2ReRh.

Magnetic moment = 0.0 μB per formula unit
Density = 12703 kg/m³
V = 13.7 Å³/atom

Unit cell a=8.6169 b=8.6169 c=8.6169 alpha=18.27 beta=18.27 gamma=18.27
Sites, in units of the cell vectors:
Zn (0.2473, 0.2473, 0.2473)
Zn (0.7527, 0.7527, 0.7527)
Re (0.0000, 0.0000, 0.0000)
Rh (0.5000, 0.5000, 0.5000)

=====

#ii
VASP calculation (meta-GGA SCAN) on a PBEsol-optimized structure of Zn2ReRh.

Magnetic moment = 0.0 μB per formula unit
Density = 12723 kg/m³
V = 13.7 Å³/atom

Unit cell a=4.6031 b=4.6031 c=4.6665 alpha=97.80 beta=97.80 gamma=34.05
Sites, in units of the cell vectors:
Zn (0.0000, 0.0000, 0.0000)
Zn (0.2460, 0.2460, 0.7819)
Re (0.4946, 0.4946, 0.4962)
Rh (0.7504, 0.7504, 0.2847)

=====

#iii
VASP calculation (meta-GGA SCAN) on a PBEsol-optimized structure of Zn2ReRh.

Magnetic moment = 0.0 μB per formula unit
Density = 12750 kg/m³
V = 13.7 Å³/atom

Unit cell a=4.6817 b=4.6817 c=2.6565 alpha=90.00 beta=90.00 gamma=110.07
Sites, in units of the cell vectors:
Zn (0.0000, 0.5000, 0.0000)
Zn (0.5000, 0.0000, 0.0000)
Re (0.0000, 0.0000, 0.5000)
Rh (0.5000, 0.5000, 0.5000)

=====

The structure with the most favorable energy is #i; the runner-up is 28 meV per atom above it.

=====

#i
VASP calculation (meta-GGA SCAN) on a PBEsol-optimized structure of ZnReRh2.

Magnetic moment = 0.0 μB per formula unit
Density = 14014 kg/m³
V = 13.6 Å³/atom

Unit cell a=2.7478 b=2.7478 c=7.1788 alpha=90.00 beta=90.00 gamma=90.00
Sites, in units of the cell vectors:
Zn (0.0000, 0.0000, 0.0000)
Re (0.0000, 0.0000, 0.5000)
Rh (0.5000, 0.5000, 0.2488)
Rh (0.5000, 0.5000, 0.7512)

=====

#ii
VASP calculation (meta-GGA SCAN) on a PBEsol-optimized structure of ZnReRh2.

Magnetic moment = 0.0 μB per formula unit
Density = 13965 kg/m³
V = 13.6 Å³/atom

Unit cell a=4.7562 b=4.7562 c=4.7562 alpha=134.21 beta=134.21 gamma=66.76
Sites, in units of the cell vectors:
Zn (0.0000, 0.0000, 0.0000)
Re (0.7500, 0.2500, 0.5000)
Rh (0.2500, 0.7500, 0.5000)
Rh (0.5000, 0.5000, 0.0000)

=====

The structure with the most favorable energy is #i; the runner-up is 308 meV per atom above it.

=====

#i
VASP calculation (meta-GGA SCAN) on a PBEsol-optimized structure of ReRu2.

Magnetic moment = 1.3 μB per formula unit
Density = 15246 kg/m³
V = 14.1 Å³/atom

Unit cell a=4.7202 b=4.7202 c=4.7202 alpha=140.44 beta=140.44 gamma=57.18
Sites, in units of the cell vectors:
Re (0.0000, 0.0000, 0.0000)
Ru (0.3370, 0.3370, 0.0000)
Ru (0.6630, 0.6630, 0.0000)

=====

#ii
VASP calculation (meta-GGA SCAN) on a PBEsol-optimized structure of ReRu2.

Magnetic moment = 0.0 μB per formula unit
Density = 15686 kg/m³
V = 13.7 Å³/atom

Unit cell a=5.0813 b=5.0813 c=6.3660 alpha=103.19 beta=103.19 gamma=30.99
Sites, in units of the cell vectors:
Re (0.0280, 0.0280, 0.3052)
Re (0.9720, 0.9720, 0.6948)
Ru (0.3055, 0.3055, 0.3625)
Ru (0.3598, 0.3598, 0.9728)
Ru (0.6402, 0.6402, 0.0272)
Ru (0.6945, 0.6945, 0.6375)

=====

#iii
VASP calculation (meta-GGA SCAN) on a PBEsol-optimized structure of ReRu2.

Magnetic moment = 0.0 μB per formula unit
Density = 15701 kg/m³
V = 13.7 Å³/atom

Unit cell a=4.7002 b=4.2864 c=8.1544 alpha=90.00 beta=90.00 gamma=90.00
Sites, in units of the cell vectors:
Re (0.1698, 0.2500, 0.1637)
Re (0.3302, 0.7500, 0.6637)
Re (0.6698, 0.2500, 0.3363)
Re (0.8302, 0.7500, 0.8363)
Ru (0.1648, 0.2500, 0.8315)
Ru (0.1665, 0.2500, 0.4987)
Ru (0.3335, 0.7500, 0.9987)
Ru (0.3352, 0.7500, 0.3315)
Ru (0.6648, 0.2500, 0.6685)
Ru (0.6665, 0.2500, 0.0013)
Ru (0.8335, 0.7500, 0.5013)
Ru (0.8352, 0.7500, 0.1685)

=====

The structure with the most favorable energy is #iii; the runner-up is 22 meV per atom above it.

=====

#i
VASP calculation (meta-GGA SCAN) on a PBEsol-optimized structure of ReRu2.

Magnetic moment = 0.0 μB per formula unit
Density = 15660 kg/m³
V = 13.7 Å³/atom

Unit cell a=7.1857 b=7.1857 c=4.2949 alpha=90.00 beta=90.00 gamma=158.20
Sites, in units of the cell vectors:
Re (0.2200, 0.7800, 0.7500)
Re (0.7800, 0.2200, 0.2500)
Ru (0.1098, 0.8902, 0.2500)
Ru (0.4446, 0.5554, 0.2500)
Ru (0.5554, 0.4446, 0.7500)
Ru (0.8902, 0.1098, 0.7500)

=====

#ii
VASP calculation (meta-GGA SCAN) on a PBEsol-optimized structure of ReRu2.

Magnetic moment = 0.0 μB per formula unit
Density = 15611 kg/m³
V = 13.8 Å³/atom

Unit cell a=5.9969 b=5.9969 c=5.9969 alpha=154.03 beta=154.03 gamma=37.06
Sites, in units of the cell vectors:
Re (0.0000, 0.0000, 0.0000)
Ru (0.3332, 0.3332, 0.0000)
Ru (0.6668, 0.6668, 0.0000)

=====

The structure with the most favorable energy is #i; the runner-up is 117 meV per atom above it.

=====

#i
VASP calculation (meta-GGA SCAN) on a PBEsol-optimized structure of ReSb2Ru.

Magnetic moment = 0.0 μB per formula unit
Density = 11076 kg/m³
V = 19.9 Å³/atom

Unit cell a=10.3054 b=10.3054 c=10.3054 alpha=16.78 beta=16.78 gamma=16.78
Sites, in units of the cell vectors:
Re (0.0000, 0.0000, 0.0000)
Sb (0.2608, 0.2608, 0.2608)
Sb (0.4690, 0.4690, 0.4690)
Ru (0.7322, 0.7322, 0.7322)

=====

#ii
VASP calculation (meta-GGA SCAN) on a PBEsol-optimized structure of ReSb2Ru.

Magnetic moment = 0.4 μB per formula unit
Density = 13027 kg/m³
V = 16.9 Å³/atom

Unit cell a=3.2436 b=3.2436 c=6.4310 alpha=90.00 beta=90.00 gamma=90.00
Sites, in units of the cell vectors:
Re (0.0000, 0.0000, 0.0000)
Sb (0.5000, 0.5000, 0.2494)
Sb (0.5000, 0.5000, 0.7506)
Ru (0.0000, 0.0000, 0.5000)

=====

#iii
VASP calculation (meta-GGA SCAN) on a PBEsol-optimized structure of ReSb2Ru.

Magnetic moment = 1.6 μB per formula unit
Density = 12266 kg/m³
V = 18.0 Å³/atom

Unit cell a=4.6666 b=4.6666 c=4.6666 alpha=60.00 beta=60.00 gamma=60.00
Sites, in units of the cell vectors:
Re (0.0000, 0.0000, 0.0000)
Sb (0.2500, 0.2500, 0.2500)
Sb (0.5000, 0.5000, 0.5000)
Ru (0.7500, 0.7500, 0.7500)

=====

#iv
VASP calculation (meta-GGA SCAN) on a PBEsol-optimized structure of ReSb2Ru.

Magnetic moment = 0.0 μB per formula unit
Density = 12639 kg/m³
V = 17.4 Å³/atom

Unit cell a=4.4904 b=4.4904 c=5.4332 alpha=101.81 beta=101.81 gamma=40.72
Sites, in units of the cell vectors:
Re (0.0000, 0.0000, 0.0000)
Sb (0.2498, 0.2498, 0.7512)
Sb (0.7502, 0.7502, 0.2488)
Ru (0.5000, 0.5000, 0.5000)

=====

The structure with the most favorable energy is #ii; the runner-up is 20 meV per atom above it.